A plane-wave DFT calculation with PBE was carried out for a relaxed structure of Ac2YTaO8.

Output
E_form (uncorrected) = -2.85 eV per atom

Cell: 4.4772 7.2200 5.6186 Å, 90.00 93.49 90.00°
Fractional positions:
Ac: 0.0000 0.2469 0.0000
Ac: 0.0000 0.7531 0.0000
Y: 0.5000 0.5000 0.5000
Ta: 0.5000 0.0000 0.5000
O: 0.0621 0.0000 0.3807
O: 0.0690 0.5000 0.2576
O: 0.4587 0.2072 0.7336
O: 0.4587 0.7928 0.7336
O: 0.5413 0.2072 0.2664
O: 0.5413 0.7928 0.2664
O: 0.9310 0.5000 0.7424
O: 0.9379 0.0000 0.6193